The following is a DFT calculation (PBE-GGA) of an optimized crystal structure of ZrCo4Si.

Results
Its energy above the lowest structure with this stoichiometry is 110.8 meV per atom.

a b c (Å): 4.7492 4.7492 4.7492
angles (deg): 60.00 60.00 60.00
With the nearest neighbours (Å) after each atom.
Element x y z (fractional)
Zr 0.0000 0.0000 0.0000  12 Co 2.79, 4 Si 2.91
Co 0.1280 0.6240 0.6240  6 Co 2.36-2.39
Co 0.6240 0.1280 0.6240  6 Co 2.36-2.39
Co 0.6240 0.6240 0.1280  6 Co 2.36-2.39
Co 0.6240 0.6240 0.6240  6 Co 2.36-2.39
Si 0.2500 0.2500 0.2500  12 Co 2.78, 4 Zr 2.91

=====

The following is a DFT calculation (PBE-GGA) of an optimized crystal structure of Ta2AlW.

Results
The energy of formation comes out at -26 kJ/mol of formula units.

a b c (Å): 5.3676 5.3676 2.7842
angles (deg): 99.51 99.51 116.93
With the nearest neighbours (Å) after each atom.
Element x y z (fractional)
Ta 0.0000 0.5000 0.0000  4 Ta 2.78-2.81, 2 W 2.81, 2 Al 2.81
Ta 0.5000 0.0000 0.0000  4 Ta 2.78-2.81, 2 W 2.81, 2 Al 2.81
Al 0.0000 0.0000 0.5000  2 Al 2.78, 2 W 2.81, 4 Ta 2.81
W 0.5000 0.5000 0.5000  2 W 2.78, 2 Al 2.81, 4 Ta 2.81

=====

The following is a DFT calculation (PBE-GGA) of an optimized crystal structure of BaSr2Cu.

Results
Its energy above the lowest structure with this stoichiometry is 0.0 meV per atom. The energy of formation comes out at -1 kJ/mol of formula units.

a b c (Å): 4.3645 10.9961 7.5399
angles (deg): 90.00 106.82 90.00
With the nearest neighbours (Å) after each atom.
Element x y z (fractional)
Ba 0.0871 0.2500 0.1733  2 Cu 3.28
Ba 0.9129 0.7500 0.8267  2 Cu 3.28
Sr 0.3549 0.0718 0.7092  2 Cu 3.26
Sr 0.3549 0.4282 0.7092  2 Cu 3.26
Sr 0.6451 0.5718 0.2908  2 Cu 3.26
Sr 0.6451 0.9282 0.2908  2 Cu 3.26
Cu 0.2421 0.7500 0.4875  4 Sr 3.26, 2 Ba 3.28
Cu 0.7579 0.2500 0.5125  4 Sr 3.26, 2 Ba 3.28

=====

The following is a DFT calculation (PBE-GGA) of an optimized crystal structure of AcSiGe.

Results
Its energy above the lowest structure with this stoichiometry is 62.4 meV per atom.

a b c (Å): 4.3866 4.3866 4.5124
angles (deg): 90.00 90.00 120.00
With the nearest neighbours (Å) after each atom.
Element x y z (fractional)
Ac 0.0000 0.0000 0.0000  6 Ge 3.39, 6 Si 3.39
Si 0.3333 0.6667 0.5000  3 Ge 2.53
Ge 0.6667 0.3333 0.5000  3 Si 2.53

=====

The following is a DFT calculation (PBE-GGA) of an optimized crystal structure of K2Ta.

Results
Its energy above the lowest structure with this stoichiometry is 586.1 meV per atom. The energy of formation comes out at 369 kJ/mol of formula units.

a b c (Å): 3.1852 3.1852 10.6402
angles (deg): 90.00 90.00 120.00
With the nearest neighbours (Å) after each atom.
Element x y z (fractional)
K 0.3333 0.6667 0.2988  6 K 3.19
K 0.6667 0.3333 0.7012  6 K 3.19
Ta 0.0000 0.0000 0.0000  6 Ta 3.19

=====

The following is a DFT calculation (PBE-GGA) of an optimized crystal structure of NpPaGaRh.

Results
The energy of formation comes out at -101 kJ/mol of formula units.

a b c (Å): 4.7947 4.7947 4.7947
angles (deg): 60.00 60.00 60.00
With the nearest neighbours (Å) after each atom.
Element x y z (fractional)
Np 0.0000 0.0000 0.0000  4 Pa 2.94, 4 Ga 2.94
Pa 0.7500 0.7500 0.7500  4 Np 2.94, 4 Rh 2.94
Ga 0.2500 0.2500 0.2500  4 Rh 2.94, 4 Np 2.94
Rh 0.5000 0.5000 0.5000  4 Pa 2.94, 4 Ga 2.94

=====

The following is a DFT calculation (PBE-GGA) of an optimized crystal structure of GeBiPd2Br.

a b c (Å): 5.1613 5.1613 5.6108
angles (deg): 90.00 90.00 90.00
With the nearest neighbours (Å) after each atom.
Element x y z (fractional)
Ge 0.0000 0.0000 0.0000  2 Bi 2.81
Bi 0.0000 0.0000 0.5000  4 Pd 2.58, 2 Ge 2.81
Pd 0.0000 0.5000 0.5000  2 Bi 2.58
Pd 0.5000 0.0000 0.5000  2 Bi 2.58
Br 0.5000 0.5000 0.0000  4 Ge 3.65, 8 Pd 3.81

=====

The following is a DFT calculation (PBE-GGA) of an optimized crystal structure of SrGdMgIn.

Results
The energy of formation comes out at -96 kJ/mol of formula units.

a b c (Å): 5.5716 5.5716 5.5716
angles (deg): 60.00 60.00 60.00
With the nearest neighbours (Å) after each atom.
Element x y z (fractional)
Sr 0.0000 0.0000 0.0000  4 In 3.41, 4 Mg 3.41
Gd 0.5000 0.5000 0.5000  4 In 3.41, 4 Mg 3.41
Mg 0.2500 0.2500 0.2500  4 Gd 3.41, 4 Sr 3.41
In 0.7500 0.7500 0.7500  4 Gd 3.41, 4 Sr 3.41

=====

The following is a DFT calculation (PBE-GGA) of an optimized crystal structure of PmPrAlTl.

Results
Its energy above the lowest structure with this stoichiometry is 0.0 meV per atom. The energy of formation comes out at -141 kJ/mol of formula units.

a b c (Å): 3.7850 3.7850 7.8160
angles (deg): 90.00 90.00 90.00
With the nearest neighbours (Å) after each atom.
Element x y z (fractional)
Pm 0.0000 0.0000 0.0000  4 Al 3.23, 4 Tl 3.35
Pr 0.0000 0.0000 0.5268  4 Al 3.28, 4 Tl 3.41
Al 0.5000 0.5000 0.7684  4 Pm 3.23, 4 Pr 3.28
Tl 0.5000 0.5000 0.2573  4 Pm 3.35, 4 Pr 3.41

=====

The following is a DFT calculation (PBE-GGA) of an optimized crystal structure of BeSbSCl2.

Results
Its energy above the lowest structure with this stoichiometry is 657.7 meV per atom.

a b c (Å): 5.3117 5.3117 5.0864
angles (deg): 90.00 90.00 90.00
With the nearest neighbours (Å) after each atom.
Element x y z (fractional)
Be 0.0000 0.0000 0.0000  8 Cl 3.68, 4 S 3.76
Sb 0.5000 0.5000 0.5000  2 S 2.54, 4 Cl 2.66
S 0.5000 0.5000 0.0000  2 Sb 2.54
Cl 0.0000 0.5000 0.5000  2 Sb 2.66
Cl 0.5000 0.0000 0.5000  2 Sb 2.66

=====

The following is a DFT calculation (PBE-GGA) of an optimized crystal structure of AcCuGe2.

Results
Its energy above the lowest structure with this stoichiometry is 386.6 meV per atom. The energy of formation comes out at -55 kJ/mol of formula units.

a b c (Å): 4.4918 4.4918 4.5892
angles (deg): 90.00 90.00 90.00
With the nearest neighbours (Å) after each atom.
Element x y z (fractional)
Ac 0.0000 0.0000 0.0000  4 Cu 3.18, 8 Ge 3.21
Cu 0.5000 0.5000 0.0000  4 Ac 3.18, 8 Ge 3.21
Ge 0.0000 0.5000 0.5000  4 Ge 3.18, 4 Ac 3.21, 4 Cu 3.21
Ge 0.5000 0.0000 0.5000  4 Ge 3.18, 4 Ac 3.21, 4 Cu 3.21

=====

The following is a DFT calculation (PBE-GGA) of an optimized crystal structure of Pm2PuSn.

Results
Its energy above the lowest structure with this stoichiometry is 109.8 meV per atom. The energy of formation comes out at -86 kJ/mol of formula units.

a b c (Å): 4.0861 4.0861 7.0436
angles (deg): 90.00 90.00 90.00
With the nearest neighbours (Å) after each atom.
Element x y z (fractional)
Pm 0.0000 0.0000 0.2294  1 Pm 3.23, 4 Sn 3.31, 4 Pu 3.46
Pm 0.0000 0.0000 0.7706  1 Pm 3.23, 4 Sn 3.31, 4 Pu 3.46
Pu 0.5000 0.5000 0.5000  8 Pm 3.46, 2 Sn 3.52
Sn 0.5000 0.5000 0.0000  8 Pm 3.31, 2 Pu 3.52

=====

The following is a DFT calculation (PBE-GGA) of an optimized crystal structure of Li2CuP.

Results
The energy of formation comes out at -115 kJ/mol of formula units.

a b c (Å): 7.0649 7.0649 7.0649
angles (deg): 95.32 95.32 144.54
With the nearest neighbours (Å) after each atom.
Element x y z (fractional)
Li 0.3750 0.1291 0.2541  2 P 2.44
Li 0.8709 0.1250 0.2459  2 P 2.44
Li 0.8750 0.1209 0.7459  2 P 2.44
Li 0.8791 0.6250 0.7541  2 P 2.44
Cu 0.2500 0.7500 0.5000  2 P 2.15
Cu 0.5000 0.5000 0.0000  2 P 2.15
P 0.0000 0.0000 0.0000  2 Cu 2.15
P 0.7500 0.2500 0.5000  2 Cu 2.15

=====

The following is a DFT calculation (PBE-GGA) of an optimized crystal structure of YRu3C.

Results
The energy of formation comes out at 183 kJ/mol of formula units.

a b c (Å): 5.3888 5.3888 5.3888
angles (deg): 88.93 88.93 88.93
With the nearest neighbours (Å) after each atom.
Element x y z (fractional)
Y 0.0000 0.0000 0.0000  2 C 2.38
Y 0.5000 0.5000 0.5000  2 C 2.38
Ru 0.0059 0.7500 0.4941  1 C 1.93
Ru 0.2500 0.5059 0.9941  1 C 1.93
Ru 0.4941 0.0059 0.7500  1 C 1.93
Ru 0.5059 0.9941 0.2500  1 C 1.93
Ru 0.7500 0.4941 0.0059  1 C 1.93
Ru 0.9941 0.2500 0.5059  1 C 1.93
C 0.2500 0.2500 0.2500  3 Ru 1.93
C 0.7500 0.7500 0.7500  3 Ru 1.93

=====

The following is a DFT calculation (PBE-GGA) of an optimized crystal structure of FeHgRu2.

Results
The energy of formation comes out at 173 kJ/mol of formula units.

a b c (Å): 5.3957 5.3957 5.3957
angles (deg): 149.42 129.88 59.86
With the nearest neighbours (Å) after each atom.
Element x y z (fractional)
Fe 0.0000 0.0000 0.0000  4 Ru 2.50, 4 Hg 2.69
Hg 0.5000 0.5000 0.0000  4 Fe 2.69, 2 Hg 2.85, 4 Ru 2.98
Ru 0.2197 0.7197 0.5000  2 Fe 2.50, 4 Ru 2.75
Ru 0.7803 0.2803 0.5000  2 Fe 2.50, 4 Ru 2.75

=====

The following is a DFT calculation (PBE-GGA) of an optimized crystal structure of BPtPbO5.

a b c (Å): 5.1355 5.1355 8.3253
angles (deg): 102.66 102.66 106.13
With the nearest neighbours (Å) after each atom.
Element x y z (fractional)
B 0.0631 0.9369 0.7500  4 O 1.48-1.52
B 0.9369 0.0631 0.2500  4 O 1.48-1.52
Pt 0.4165 0.5835 0.7500  3 O 1.91-2.03
Pt 0.5835 0.4165 0.2500  3 O 1.91-2.03
Pb 0.0000 0.5000 0.0000  6 O 2.24-2.25
Pb 0.5000 0.0000 0.5000  6 O 2.24-2.25
O 0.1516 0.2590 0.8013  1 B 1.52
O 0.1600 0.8031 0.6091  1 B 1.48
O 0.1969 0.8400 0.8909  1 B 1.48
O 0.2590 0.1516 0.3013  1 B 1.52
O 0.3514 0.6486 0.2500  1 Pt 1.91
O 0.6486 0.3514 0.7500  1 Pt 1.91
O 0.7410 0.8484 0.6987  1 B 1.52
O 0.8031 0.1600 0.1091  1 B 1.48
O 0.8400 0.1969 0.3909  1 B 1.48
O 0.8484 0.7410 0.1987  1 B 1.52

=====

The following is a DFT calculation (PBE-GGA) of an optimized crystal structure of GdGaCoRu.

Results
The energy of formation comes out at -73 kJ/mol of formula units.

a b c (Å): 4.4986 4.4986 4.4986
angles (deg): 60.00 60.00 60.00
With the nearest neighbours (Å) after each atom.
Element x y z (fractional)
Gd 0.0000 0.0000 0.0000  4 Co 2.75, 4 Ru 2.75
Ga 0.5000 0.5000 0.5000  4 Co 2.75, 4 Ru 2.75
Co 0.2500 0.2500 0.2500  4 Gd 2.75, 4 Ga 2.75
Ru 0.7500 0.7500 0.7500  4 Gd 2.75, 4 Ga 2.75

=====

The following is a DFT calculation (PBE-GGA) of an optimized crystal structure of KNaTcN2.

a b c (Å): 6.2736 6.2736 9.6587
angles (deg): 112.19 112.19 32.23
With the nearest neighbours (Å) after each atom.
Element x y z (fractional)
K 0.1590 0.1590 0.1157  5 N 2.90-3.18
K 0.8410 0.8410 0.8843  5 N 2.90-3.18
Na 0.1446 0.1446 0.5347  4 N 2.53-2.65
Na 0.8554 0.8554 0.4653  4 N 2.53-2.65
Tc 0.4714 0.4714 0.2563  3 N 1.73-1.92
Tc 0.5286 0.5286 0.7437  3 N 1.73-1.92
N 0.1019 0.1019 0.7836  2 Tc 1.92
N 0.3726 0.3726 0.6625  1 Tc 1.73
N 0.6274 0.6274 0.3375  1 Tc 1.73
N 0.8981 0.8981 0.2164  2 Tc 1.92

=====

The following is a DFT calculation (PBE-GGA) of an optimized crystal structure of MoOsRh2.

Results
Its energy above the lowest structure with this stoichiometry is 166.0 meV per atom. The energy of formation comes out at -9 kJ/mol of formula units.

a b c (Å): 4.7339 2.7398 4.7590
angles (deg): 90.00 109.19 90.00
With the nearest neighbours (Å) after each atom.
Element x y z (fractional)
Mo 0.0000 0.0000 0.0000  4 Os 2.73, 2 Mo 2.74, 6 Rh 2.75
Os 0.5000 0.5000 0.0000  4 Mo 2.73, 2 Os 2.74, 6 Rh 2.75
Rh 0.0000 0.5000 0.5000  6 Rh 2.73-2.74, 4 Mo 2.75, 2 Os 2.75
Rh 0.5000 0.0000 0.5000  6 Rh 2.73-2.74, 4 Os 2.75, 2 Mo 2.75

=====

The following is a DFT calculation (PBE-GGA) of an optimized crystal structure of LaTmMgAg.

Results
Its energy above the lowest structure with this stoichiometry is 0.0 meV per atom. The energy of formation comes out at -70 kJ/mol of formula units.

a b c (Å): 3.7708 3.7708 7.5663
angles (deg): 90.00 90.00 90.00
With the nearest neighbours (Å) after each atom.
Element x y z (fractional)
La 0.0000 0.0000 0.0000  4 Ag 3.39, 4 Mg 3.40, 1 Tm 3.62, 4 La 3.77
Tm 0.0000 0.0000 0.4787  4 Ag 3.07, 4 Mg 3.24
Mg 0.5000 0.5000 0.7212  4 Tm 3.24, 1 Ag 3.36, 4 La 3.40
Ag 0.5000 0.5000 0.2769  4 Tm 3.07, 1 Mg 3.36, 4 La 3.39

=====

| no. | V (Å³/atom) | raw total energy (eV/cell) |
| --- | --- | --- |
| 1 | 12.624 | -43.6 |
| 2 | 16.963 | -40.7 |
| 3 | 43.298 | -18.8 |
| 4 | 25.065 | -15.8 |
| 5 | 31.163 | -10.2 |
| 6 | 19.485 | -33.9 |
| 7 | 29.893 | -17.3 |
| 8 | 30.575 | -21.1 |
| 9 | 27.994 | -17.1 |
| 10 | 28.701 | -13.9 |
| 11 | 23.148 | -18.0 |
| 12 | 29.401 | -28.7 |
| 13 | 24.356 | -29.1 |
| 14 | 15.640 | -83.2 |
| 15 | 15.204 | -25.5 |
| 16 | 12.274 | -97.6 |
| 17 | 16.094 | -34.2 |
| 18 | 18.645 | -60.2 |
| 19 | 14.573 | -36.9 |
| 20 | 26.895 | -14.6 |